Entry 1:
Na3TiPd2Se6: relaxed, PBE.

Computed properties:
Calculated density, g/cm3: 5.07
N(E_F), states/eV/f.u.: 8.14
Formation energy from raw total energies, eV/atom: -0.737
Crystal system: monoclinic
Total magnetization, μB per formula unit: 0.00

Cell lengths 6.646, 6.646, 7.231 Å; angles 98.87, 98.87, 120.03 degrees
Element x y z (fractional)
Pd (0.334, 0.666, 0.000)
Pd (0.666, 0.334, 0.000)
Se (0.741, 0.741, 0.204)
Se (0.395, 0.068, 0.202)
Se (0.932, 0.605, 0.798)
Se (0.605, 0.932, 0.798)
Se (0.259, 0.259, 0.796)
Se (0.068, 0.395, 0.202)
Na (0.829, 0.171, 0.500)
Na (0.171, 0.829, 0.500)
Na (0.500, 0.500, 0.500)
Ti (0.000, 0.000, 0.000)

=====

Entry 2:
Na4Ti3PdSe8: relaxed, PBE.

Computed properties:
Calculated density, g/cm3: 4.66
N(E_F), states/eV/f.u.: 7.77
Formation energy from raw total energies, eV/atom: -1.019
Crystal system: trigonal
Total magnetization, μB per formula unit: 2.03

Cell lengths 7.596, 8.215, 7.600 Å; angles 117.58, 119.98, 90.00 degrees
Each line ends with the local moment (μB).
Element x y z (fractional)
Ti (0.500, 0.500, 0.000)  0.61
Ti (0.000, 0.500, 0.500)  0.61
Ti (0.500, 0.500, 0.500)  0.61
Na (0.000, 0.000, 0.000)  0.00
Na (0.500, 0.000, 0.500)  0.00
Na (0.500, 0.000, 0.000)  0.00
Na (0.000, 0.000, 0.500)  0.00
Se (0.762, 0.293, 0.523)  -0.02
Se (0.238, 0.707, 0.477)  -0.02
Se (0.738, 0.714, 0.476)  -0.03
Se (0.762, 0.293, 0.031)  -0.02
Se (0.238, 0.707, 0.969)  -0.02
Se (0.262, 0.286, 0.524)  -0.03
Se (0.731, 0.707, 0.969)  -0.02
Se (0.269, 0.293, 0.031)  -0.02
Pd (0.000, 0.500, 0.000)  0.06

=====

Entry 3:
NaU2PdSe4: relaxed, PBE.

Computed properties:
Calculated density, g/cm3: 7.69
N(E_F), states/eV/f.u.: 13.29
Formation energy from raw total energies, eV/atom: -1.031
Crystal system: orthorhombic
Total magnetization, μB per formula unit: 4.99

Cell lengths 4.055, 7.090, 14.444 Å; angles 90.00, 90.00, 106.62 degrees
Each line ends with the local moment (μB).
Element x y z (fractional)
Se (0.278, 0.556, 0.110)  -0.06
Se (0.000, 0.000, 0.500)  -0.08
Se (0.454, 0.909, 0.750)  -0.07
Se (0.722, 0.444, 0.610)  -0.06
Se (0.000, 0.000, 0.000)  -0.08
Se (0.722, 0.444, 0.890)  -0.06
Se (0.546, 0.091, 0.250)  -0.07
Se (0.278, 0.556, 0.390)  -0.06
U (0.634, 0.267, 0.071)  2.43
U (0.366, 0.733, 0.929)  2.43
U (0.634, 0.267, 0.429)  2.43
U (0.366, 0.733, 0.571)  2.43
Pd (0.837, 0.674, 0.750)  -0.06
Pd (0.163, 0.326, 0.250)  -0.06
Na (0.877, 0.754, 0.250)  0.00
Na (0.123, 0.246, 0.750)  0.00

=====

Entry 4:
Na2UPd2Se4: relaxed, PBE.

Computed properties:
Calculated density, g/cm3: 6.60
N(E_F), states/eV/f.u.: 3.98
Formation energy from raw total energies, eV/atom: -0.895
Crystal system: monoclinic
Total magnetization, μB per formula unit: 0.81

Cell lengths 4.044, 7.459, 7.592 Å; angles 111.34, 105.44, 90.00 degrees
Each line ends with the local moment (μB).
Element x y z (fractional)
Se (0.492, 0.258, 0.985)  -0.05
Se (0.799, 0.780, 0.598)  -0.04
Se (0.508, 0.742, 0.015)  -0.05
Se (0.201, 0.220, 0.402)  -0.04
Na (0.134, 0.587, 0.268)  0.00
Na (0.866, 0.413, 0.732)  0.00
U (0.000, 0.000, 0.000)  1.17
Pd (0.317, 0.992, 0.634)  -0.08
Pd (0.683, 0.008, 0.366)  -0.08

=====

Entry 5:
NaUPdSe3: relaxed, PBE.

Computed properties:
Calculated density, g/cm3: 6.68
N(E_F), states/eV/f.u.: 5.75
Formation energy from raw total energies, eV/atom: -0.965
Crystal system: monoclinic
Total magnetization, μB per formula unit: 1.42

Cell lengths 4.074, 7.989, 9.572 Å; angles 105.41, 90.00, 90.00 degrees
Each line ends with the local moment (μB).
Element x y z (fractional)
Se (0.750, 0.427, 0.143)  -0.07
Se (0.250, 0.573, 0.857)  -0.07
Se (0.250, 0.730, 0.462)  -0.07
Se (0.750, 0.920, 0.153)  -0.07
Se (0.750, 0.270, 0.538)  -0.07
Se (0.250, 0.080, 0.847)  -0.07
U (0.750, 0.312, 0.830)  1.71
U (0.250, 0.688, 0.170)  1.71
Na (0.750, 0.784, 0.723)  0.00
Na (0.250, 0.216, 0.277)  0.00
Pd (0.250, 0.104, 0.577)  -0.11
Pd (0.750, 0.896, 0.423)  -0.11

=====

Entry 6:
NaUPdSe4: relaxed, PBE.

Computed properties:
Calculated density, g/cm3: 6.60
N(E_F), states/eV/f.u.: 6.28
Formation energy from raw total energies, eV/atom: -0.784
Crystal system: monoclinic
Total magnetization, μB per formula unit: 0.56

Cell lengths 7.217, 5.629, 9.280 Å; angles 90.00, 114.27, 90.00 degrees
Each line ends with the local moment (μB).
Element x y z (fractional)
Se (0.942, 0.488, 0.293)  -0.05
Se (0.942, 0.012, 0.293)  -0.05
Se (0.434, 0.750, 0.140)  -0.06
Se (0.560, 0.250, 0.410)  -0.07
Se (0.058, 0.512, 0.707)  -0.05
Se (0.566, 0.250, 0.860)  -0.06
Se (0.440, 0.750, 0.590)  -0.07
Se (0.058, 0.988, 0.707)  -0.05
U (0.281, 0.250, 0.556)  0.98
U (0.719, 0.750, 0.444)  0.98
Na (0.706, 0.750, 0.960)  0.00
Na (0.294, 0.250, 0.040)  0.00
Pd (0.227, 0.750, 0.299)  -0.11
Pd (0.773, 0.250, 0.701)  -0.11

=====

calculated density of number 6 (NaUPdSe4)?
6.60 g/cm3

=====

total magnetization of number 1 (Na3TiPd2Se6)?
0.00 μB per formula unit